1:
{
  "formula": "Ac4NiRu",
  "functional": "PBE",
  "state": "relaxed",
  "spacegroup": "No. 15",
  "magnetic_moment_mub_per_fu": 0.00,
  "dos_ef_per_ev_cell": 11.31,
  "lattice": [[7.286, 0.528, 0.000], [-0.565, 7.223, 0.000], [-3.360, -3.876, 7.988]],
  "species": ["Ru", "Ru", "Ac", "Ac", "Ac", "Ac", "Ac", "Ac", "Ac", "Ac", "Ni", "Ni"],
  "frac_coords": [[0.915, 0.165, 0.329], [0.085, 0.835, 0.671], [0.604, 0.803, 0.099], [0.995, 0.296, 0.099], [0.808, 0.107, 0.602], [0.005, 0.704, 0.901], [0.294, 0.495, 0.602], [0.192, 0.893, 0.398], [0.706, 0.505, 0.398], [0.396, 0.197, 0.901], [0.328, 0.578, 0.157], [0.672, 0.422, 0.843]]
}

---

2:
{
  "formula": "Ac4NiRu",
  "functional": "PBE",
  "state": "relaxed",
  "spacegroup": "No. 10",
  "magnetic_moment_mub_per_fu": 0.00,
  "dos_ef_per_ev_cell": 6.11,
  "lattice": [[4.320, 0.000, 0.000], [0.000, 6.852, -0.839], [0.000, 0.873, 7.386]],
  "species": ["Ac", "Ac", "Ac", "Ac", "Ni", "Ru"],
  "frac_coords": [[0.000, 0.774, 0.331], [0.500, 0.769, 0.837], [0.000, 0.226, 0.669], [0.500, 0.231, 0.163], [0.500, 0.000, 0.500], [0.000, 0.000, 0.000]]
}

---

From most stable to least stable, the computed energies give 2, 1.

---

1:
{
  "formula": "Ac2NiSb",
  "functional": "PBE",
  "state": "relaxed",
  "spacegroup": "No. 166",
  "magnetic_moment_mub_per_fu": 0.00,
  "dos_ef_per_ev_cell": 2.89,
  "lattice": [[4.509, 0.000, 0.000], [2.255, 3.905, 0.000], [2.255, 1.302, 7.586]],
  "species": ["Ni", "Ac", "Ac", "Sb"],
  "frac_coords": [[0.500, 0.500, 0.500], [0.241, 0.241, 0.277], [0.759, 0.759, 0.723], [0.000, 0.000, 0.000]]
}

---

2:
{
  "formula": "Ac2NiSb",
  "functional": "PBE",
  "state": "relaxed",
  "spacegroup": "No. 123",
  "magnetic_moment_mub_per_fu": 0.00,
  "dos_ef_per_ev_cell": 2.37,
  "lattice": [[-2.464, -0.630, -3.045], [-1.564, -3.106, 1.908], [-5.162, 4.582, 3.228]],
  "species": ["Ni", "Sb", "Ac", "Ac"],
  "frac_coords": [[0.500, 0.500, 0.000], [0.500, 0.500, 0.500], [0.000, 0.000, 0.235], [0.000, 0.000, 0.765]]
}

---

3:
{
  "formula": "Ac2NiSb",
  "functional": "PBE",
  "state": "relaxed",
  "spacegroup": "No. 225",
  "magnetic_moment_mub_per_fu": 0.53,
  "dos_ef_per_ev_cell": 5.09,
  "lattice": [[5.563, 0.000, 0.000], [2.781, 4.817, 0.000], [2.781, 1.606, 4.542]],
  "species": ["Ac", "Ac", "Sb", "Ni"],
  "frac_coords": [[0.250, 0.250, 0.250], [0.750, 0.750, 0.750], [0.500, 0.500, 0.500], [0.000, 0.000, 0.000]]
}

---

From most stable to least stable, the computed energies give 1, 2, 3.

---

1:
{
  "formula": "AcNiSb",
  "functional": "PBE",
  "state": "relaxed",
  "spacegroup": "No. 107",
  "magnetic_moment_mub_per_fu": 0.00,
  "dos_ef_per_ev_cell": 2.91,
  "lattice": [[-1.214, 1.356, -3.068], [-2.503, -2.537, -0.131], [-1.772, 4.021, 4.551]],
  "species": ["Sb", "Ni", "Ac"],
  "frac_coords": [[0.294, 0.294, 0.588], [0.696, 0.696, 0.391], [0.011, 0.011, 0.021]]
}

---

2:
{
  "formula": "AcNiSb",
  "functional": "PBE",
  "state": "relaxed",
  "spacegroup": "No. 216",
  "magnetic_moment_mub_per_fu": 0.00,
  "lattice": [[-1.877, 3.954, -2.040], [0.612, 0.803, -4.722], [-3.747, -0.388, -3.021]],
  "species": ["Ac", "Ni", "Sb"],
  "frac_coords": [[0.000, 0.000, 0.000], [0.250, 0.250, 0.250], [0.500, 0.500, 0.500]]
}

---

3:
{
  "formula": "AcNiSb",
  "functional": "PBE",
  "state": "relaxed",
  "spacegroup": "No. 156",
  "magnetic_moment_mub_per_fu": 0.00,
  "dos_ef_per_ev_cell": 1.55,
  "lattice": [[4.473, 0.000, 0.000], [0.000, 4.480, 0.000], [0.000, -2.240, 3.879]],
  "species": ["Ac", "Ni", "Sb"],
  "frac_coords": [[0.667, 0.667, 0.333], [0.166, 0.000, 0.000], [0.167, 0.333, 0.667]]
}

---

4:
{
  "formula": "AcNiSb",
  "functional": "PBE",
  "state": "relaxed",
  "spacegroup": "No. 194",
  "magnetic_moment_mub_per_fu": 0.00,
  "dos_ef_per_ev_cell": 2.79,
  "lattice": [[4.481, 0.000, 0.000], [-2.239, 3.881, 0.000], [0.000, 0.000, 8.926]],
  "species": ["Ni", "Ni", "Sb", "Sb", "Ac", "Ac"],
  "frac_coords": [[0.667, 0.833, 0.250], [0.333, 0.167, 0.750], [0.333, 0.167, 0.250], [0.667, 0.833, 0.750], [0.000, 0.500, 0.500], [0.000, 0.500, 0.000]]
}

---

From most stable to least stable, the computed energies give 4, 3, 2, 1.

---

1:
{
  "formula": "AcSi2Ni3",
  "functional": "PBE",
  "state": "relaxed",
  "spacegroup": "No. 12",
  "magnetic_moment_mub_per_fu": 0.00,
  "dos_ef_per_ev_cell": 9.03,
  "lattice": [[3.928, 0.000, 0.000], [-1.964, 7.563, 0.290], [0.000, -3.129, 6.462]],
  "species": ["Si", "Si", "Si", "Si", "Ni", "Ni", "Ni", "Ni", "Ni", "Ni", "Ac", "Ac"],
  "frac_coords": [[0.479, 0.958, 0.804], [0.178, 0.356, 0.633], [0.521, 0.042, 0.196], [0.822, 0.644, 0.367], [0.033, 0.067, 0.365], [0.317, 0.635, 0.561], [0.413, 0.826, 0.352], [0.587, 0.174, 0.648], [0.967, 0.933, 0.635], [0.683, 0.365, 0.439], [0.844, 0.688, 0.929], [0.156, 0.312, 0.071]]
}

---

2:
{
  "formula": "AcSi2Ni3",
  "functional": "PBE",
  "state": "relaxed",
  "spacegroup": "No. 191",
  "magnetic_moment_mub_per_fu": 0.00,
  "dos_ef_per_ev_cell": 11.72,
  "lattice": [[5.548, 0.000, 0.000], [-2.774, 4.804, 0.000], [0.000, 0.000, 7.111]],
  "species": ["Si", "Si", "Si", "Si", "Ac", "Ac", "Ni", "Ni", "Ni", "Ni", "Ni", "Ni"],
  "frac_coords": [[0.667, 0.333, 0.500], [0.333, 0.667, 0.000], [0.667, 0.333, 0.000], [0.333, 0.667, 0.500], [0.000, 0.000, 0.500], [0.000, 0.000, 0.000], [0.500, 0.500, 0.750], [0.000, 0.500, 0.750], [0.500, 0.500, 0.250], [0.000, 0.500, 0.250], [0.500, 0.000, 0.250], [0.500, 0.000, 0.750]]
}

---

From most stable to least stable, the computed energies give 1, 2.

---

1:
{
  "formula": "AcSm2Ni",
  "functional": "PBE",
  "state": "relaxed",
  "spacegroup": "No. 160",
  "magnetic_moment_mub_per_fu": 0.00,
  "dos_ef_per_ev_cell": 5.25,
  "lattice": [[-2.592, 2.960, -0.711], [-3.448, -0.769, -1.873], [-6.119, -0.889, 7.362]],
  "species": ["Ac", "Ni", "Sm", "Sm"],
  "frac_coords": [[0.502, 0.502, 0.494], [0.666, 0.666, 0.003], [0.054, 0.054, 0.837], [0.278, 0.278, 0.165]]
}

---

2:
{
  "formula": "AcSm2Ni",
  "functional": "PBE",
  "state": "relaxed",
  "spacegroup": "No. 62",
  "magnetic_moment_mub_per_fu": 0.00,
  "dos_ef_per_ev_cell": 19.12,
  "lattice": [[-1.727, -5.043, -3.936], [6.203, 0.681, -3.594], [4.399, -6.475, 6.366]],
  "species": ["Sm", "Sm", "Sm", "Sm", "Sm", "Sm", "Sm", "Sm", "Ac", "Ac", "Ac", "Ac", "Ni", "Ni", "Ni", "Ni"],
  "frac_coords": [[0.327, 0.174, 0.070], [0.173, 0.674, 0.430], [0.673, 0.826, 0.570], [0.673, 0.826, 0.930], [0.327, 0.174, 0.430], [0.173, 0.674, 0.070], [0.827, 0.326, 0.930], [0.827, 0.326, 0.570], [0.645, 0.536, 0.250], [0.145, 0.964, 0.750], [0.355, 0.464, 0.750], [0.855, 0.036, 0.250], [0.086, 0.387, 0.250], [0.914, 0.613, 0.750], [0.414, 0.887, 0.250], [0.586, 0.113, 0.750]]
}

---

From most stable to least stable, the computed energies give 2, 1.

---

1:
{
  "formula": "Ac2SmNi",
  "functional": "PBE",
  "state": "relaxed",
  "spacegroup": "No. 166",
  "magnetic_moment_mub_per_fu": 0.08,
  "dos_ef_per_ev_cell": 6.25,
  "lattice": [[-3.586, -1.114, -1.188], [-0.391, -2.407, -3.093], [-0.854, -9.720, 5.163]],
  "species": ["Ac", "Ac", "Ni", "Sm"],
  "frac_coords": [[0.112, 0.112, 0.665], [0.888, 0.888, 0.335], [0.500, 0.500, 0.500], [0.000, 0.000, 0.000]]
}

---

2:
{
  "formula": "Ac2SmNi",
  "functional": "PBE",
  "state": "relaxed",
  "spacegroup": "No. 62",
  "magnetic_moment_mub_per_fu": 0.00,
  "dos_ef_per_ev_cell": 18.60,
  "lattice": [[6.749, 0.000, 0.000], [0.000, 7.395, 0.000], [0.000, 0.000, 10.507]],
  "species": ["Ni", "Ni", "Ni", "Ni", "Sm", "Sm", "Sm", "Sm", "Ac", "Ac", "Ac", "Ac", "Ac", "Ac", "Ac", "Ac"],
  "frac_coords": [[0.048, 0.378, 0.250], [0.952, 0.622, 0.750], [0.452, 0.878, 0.250], [0.548, 0.122, 0.750], [0.165, 0.958, 0.750], [0.335, 0.458, 0.750], [0.665, 0.542, 0.250], [0.835, 0.042, 0.250], [0.325, 0.177, 0.070], [0.175, 0.677, 0.070], [0.675, 0.823, 0.570], [0.325, 0.177, 0.430], [0.675, 0.823, 0.930], [0.175, 0.677, 0.430], [0.825, 0.323, 0.930], [0.825, 0.323, 0.570]]
}

---

From most stable to least stable, the computed energies give 2, 1.